i:
## PrAl4Pt2 (PBE)

Data for crystalline PrAl4Pt2 at its relaxed geometry.

* theoretical density: 8.3 g/cm3
* total moment: 0.00 μB per formula unit
* density of states at the Fermi level: 11.3 states/eV per cell

Unit cell a=17.5325 b=4.3419 c=6.6778 alpha=90.00 beta=90.00 gamma=90.00
Space group Pnma (No. 62)
Inequivalent atoms, fractional coordinates:
1 Pr 0.1387 0.2500 0.0109
2 Al 0.0346 0.7500 0.8345
3 Al 0.0711 0.2500 0.4919
4 Al 0.1857 0.7500 0.3236
5 Al 0.1944 0.7500 0.7251
6 Pt 0.0370 0.7500 0.2495
7 Pt 0.2154 0.2500 0.5262

=====

ii:
## PrAl4Pt2 (PBE)

Data for crystalline PrAl4Pt2 at its relaxed geometry.

* theoretical density: 8.3 g/cm3
* total moment: 0.00 μB per formula unit
* density of states at the Fermi level: 7.3 states/eV per cell

Unit cell a=7.8738 b=7.8738 c=4.1385 alpha=90.00 beta=90.00 gamma=90.00
Space group P4_2/mnm (No. 136)
Inequivalent atoms, fractional coordinates:
1 Pr 0.0000 0.0000 0.0000
2 Al 0.0829 0.3371 0.5000
3 Pt 0.2193 0.7807 0.5000

=====

Most stable structure - i; separation to the second - 70 meV per atom.

=====

i:
## PrAlPt3 (PBE)

Data for crystalline PrAlPt3 at its relaxed geometry.

* theoretical density: 13.3 g/cm3
* total moment: 0.00 μB per formula unit
* density of states at the Fermi level: 7.5 states/eV per cell

Unit cell a=8.4585 b=4.1604 c=10.7060 alpha=90.00 beta=90.00 gamma=90.00
Space group Pnma (No. 62)
Inequivalent atoms, fractional coordinates:
1 Pr 0.1814 0.2500 0.0102
2 Al 0.1009 0.2500 0.3574
3 Pt 0.0683 0.2500 0.5864
4 Pt 0.1148 0.7500 0.7959
5 Pt 0.1500 0.7500 0.2196

=====

ii:
## PrAlPt3 (PBE)

Data for crystalline PrAlPt3 at its relaxed geometry.

* theoretical density: 12.0 g/cm3
* total moment: 0.00 μB per formula unit
* density of states at the Fermi level: 5.3 states/eV per cell

Unit cell a=5.8574 b=7.5382 c=4.7251 alpha=90.00 beta=90.00 gamma=90.00
Space group Cmmm (No. 65)
Inequivalent atoms, fractional coordinates:
1 Pr 0.0000 0.0000 0.0000
2 Al 0.0000 0.5000 0.5000
3 Pt 0.0000 0.5000 0.0000
4 Pt 0.2500 0.2500 0.5000

=====

Most stable structure - i; separation to the second - 292 meV per atom.

=====

i:
## Pr2PuAl (PBE)

Data for crystalline Pr2PuAl at its relaxed geometry.

* theoretical density: 7.4 g/cm3
* total moment: 5.70 μB per formula unit
* density of states at the Fermi level: 29.3 states/eV per cell

Unit cell a=3.4410 b=3.4410 c=36.2035 alpha=90.00 beta=90.00 gamma=120.00
Space group R-3m (No. 166, hexagonal axes)
Inequivalent atoms, fractional coordinates:
1 Pr 0.0000 0.0000 0.0869
2 Pu 0.0000 0.0000 0.5000
3 Al 0.0000 0.0000 0.0000

=====

ii:
## Pr2PuAl (PBE)

Data for crystalline Pr2PuAl at its relaxed geometry.

* theoretical density: 7.8 g/cm3
* total moment: 6.82 μB per formula unit
* density of states at the Fermi level: 7.4 states/eV per cell

Unit cell a=3.6758 b=3.6758 c=8.7189 alpha=90.00 beta=90.00 gamma=90.00
Space group P4/mmm (No. 123)
Inequivalent atoms, fractional coordinates:
1 Pr 0.0000 0.0000 0.2193
2 Pu 0.5000 0.5000 0.5000
3 Al 0.5000 0.5000 0.0000

=====

Most stable structure - ii; separation to the second - 415 meV per atom.

=====

i:
## PrPu3Al8 (PBE)

Data for crystalline PrPu3Al8 at its relaxed geometry.

* theoretical density: 7.4 g/cm3
* total moment: 5.27 μB per formula unit
* density of states at the Fermi level: 81.8 states/eV per cell

Unit cell a=5.5781 b=5.5781 c=27.2048 alpha=90.00 beta=90.00 gamma=120.00
Space group R3m (No. 160, hexagonal axes)
Inequivalent atoms, fractional coordinates:
1 Pr 0.0000 0.0000 0.0000
2 Pu 0.0000 0.0000 0.3820
3 Pu 0.0000 0.0000 0.4988
4 Pu 0.0000 0.0000 0.8739
5 Al 0.0000 0.0000 0.1885
6 Al 0.0000 0.0000 0.6893
7 Al 0.0000 0.5000 0.9378
8 Al 0.0015 0.5007 0.4390

=====

ii:
## PrPu3Al8 (PBE)

Data for crystalline PrPu3Al8 at its relaxed geometry.

* theoretical density: 7.4 g/cm3
* total moment: 5.38 μB per formula unit
* density of states at the Fermi level: 22.9 states/eV per cell

Unit cell a=5.6354 b=5.6354 c=8.8315 alpha=90.00 beta=90.00 gamma=120.00
Space group P3m1 (No. 156)
Inequivalent atoms, fractional coordinates:
1 Pr 0.0000 0.0000 0.0000
2 Pu 0.0000 0.0000 0.3579
3 Pu 0.6667 0.3333 0.5155
4 Pu 0.6667 0.3333 0.8245
5 Al 0.1610 0.3220 0.6735
6 Al 0.3333 0.6667 0.4256
7 Al 0.3333 0.6667 0.9216
8 Al 0.5064 0.0127 0.1783

=====

Most stable structure - i; separation to the second - 9 meV per atom.

=====

i:
## Pr4AlRh (PBE)

Data for crystalline Pr4AlRh at its relaxed geometry.

* theoretical density: 6.7 g/cm3
* total moment: 0.00 μB per formula unit
* density of states at the Fermi level: 86.7 states/eV per cell

Unit cell a=14.0260 b=14.0260 c=14.0260 alpha=90.00 beta=90.00 gamma=90.00
Space group F-43m (No. 216)
Inequivalent atoms, fractional coordinates:
1 Pr 0.0000 0.0000 0.1861
2 Pr 0.0537 0.2500 0.7500
3 Pr 0.1009 0.1009 0.3991
4 Al 0.1764 0.1764 0.1764
5 Rh 0.1084 0.1084 0.6084

=====

ii:
## Pr4AlRh (PBE)

Data for crystalline Pr4AlRh at its relaxed geometry.

* theoretical density: 6.5 g/cm3
* total moment: 0.00 μB per formula unit
* density of states at the Fermi level: 27.9 states/eV per cell

Unit cell a=9.0202 b=14.1490 c=6.1984 alpha=90.00 beta=116.63 gamma=90.00
Space group C2/c (No. 15)
Inequivalent atoms, fractional coordinates:
1 Pr 0.1191 0.1845 0.0814
2 Pr 0.2153 0.4316 0.3263
3 Al 0.0000 0.3756 0.7500
4 Rh 0.0000 0.0004 0.2500

=====

Most stable structure - i; separation to the second - 74 meV per atom.

=====

i:
## PrAlS3 (PBE)

Data for crystalline PrAlS3 at its relaxed geometry.

* theoretical density: 3.6 g/cm3
* total moment: 0.00 μB per formula unit
* density of states at the Fermi level: 0.0 states/eV per cell

Unit cell a=7.0256 b=7.0311 c=9.7656 alpha=90.00 beta=90.00 gamma=90.00
Space group Pna2_1 (No. 33)
Inequivalent atoms, fractional coordinates:
1 Pr 0.1206 0.0847 0.0000
2 Al 0.2041 0.6468 0.1439
3 S 0.0614 0.2998 0.5104
4 S 0.1923 0.8415 0.3241
5 S 0.1958 0.8535 0.6845

=====

ii:
## PrAlS3 (PBE)

Data for crystalline PrAlS3 at its relaxed geometry.

* theoretical density: 4.3 g/cm3
* total moment: 0.00 μB per formula unit
* density of states at the Fermi level: 0.2 states/eV per cell

Unit cell a=6.5232 b=13.8233 c=4.5650 alpha=90.00 beta=90.00 gamma=90.00
Space group Cmmm (No. 65)
Inequivalent atoms, fractional coordinates:
1 Pr 0.0000 0.1554 0.0000
2 Al 0.0000 0.3895 0.5000
3 S 0.0000 0.3607 0.0000
4 S 0.2262 0.0000 0.5000
5 S 0.2500 0.2500 0.5000

=====

Most stable structure - i; separation to the second - 201 meV per atom.